Rb2TiI6Br | PBE | optimized geometry

a = 8.535 Å, b = 8.535 Å, c = 12.830 Å
α = 90.00°, β = 90.00°, γ = 90.00°
Space group I4/mmm (No. 139)
Unique sites:
Rb 0.000 0.500 0.250 x4
Ti 0.000 0.000 0.000 x2
I 0.000 0.000 0.215 x4
I 0.230 0.230 0.000 x8
Br 0.000 0.000 0.500 x2

- E_tot: -2.919 eV/atom
- Crystal system: tetragonal
- Uncorrected formation energy: -0.839 eV per atom